1.
# NdDyIn2

An optimized crystal structure of NdDyIn2 (PBE-GGA, OQMD via LeMat-Bulk).

volume	111	Å³/f.u.
final energy	-4.193	eV/atom
symmetry	No. 123

Cell: 3.8114 3.8114 7.6142 Å, 90.00 90.00 90.00°
Fractional coordinates of all 4 atoms:
Nd 0.0000 0.0000 0.0000
Dy 0.0000 0.0000 0.5000
In 0.5000 0.5000 0.2623
In 0.5000 0.5000 0.7377

=====

2.
# NdDyIn2

An optimized crystal structure of NdDyIn2 (PBE-GGA, OQMD via LeMat-Bulk).

volume	118	Å³/f.u.
final energy	-4.143	eV/atom
symmetry	No. 38

Cell: 4.3701 6.2742 6.2742 Å, 43.31 90.00 90.00°
Fractional coordinates of all 4 atoms:
Nd 0.0000 0.0000 0.0000
Dy 0.5000 0.2775 0.2775
In 0.0000 0.7246 0.7246
In 0.5000 0.5567 0.5567

=====

3.
# NdDyIn

An optimized crystal structure of NdDyIn (PBE-GGA, OQMD via LeMat-Bulk).

volume	103	Å³/f.u.
final energy	-4.129	eV/atom
symmetry	No. 216

Cell: 5.2540 5.2540 5.2540 Å, 60.00 60.00 60.00°
Fractional coordinates of all 3 atoms:
Nd 0.0000 0.0000 0.0000
Dy 0.5000 0.5000 0.5000
In 0.7500 0.7500 0.7500

=====

4.
# NdDyInNi2

An optimized crystal structure of NdDyInNi2 (PBE-GGA, OQMD via LeMat-Bulk).

volume	106	Å³/f.u.
final energy	-5.140	eV/atom
symmetry	No. 38

Cell: 3.7240 7.4692 7.4692 Å, 30.77 90.00 90.00°
Fractional coordinates of all 5 atoms:
Nd 0.0000 0.0000 0.0000
Dy 0.0000 0.7248 0.7248
In 0.5000 0.3595 0.3595
Ni 0.5000 0.1661 0.1661
Ni 0.5000 0.5666 0.5666

=====

final energy of number 2 (NdDyIn2)? -4.143 eV/atom

=====

The lowest volume belongs to which entry? NdDyIn

=====

Please write out number 1 again, unchanged.
# NdDyIn2

An optimized crystal structure of NdDyIn2 (PBE-GGA, OQMD via LeMat-Bulk).

volume	111	Å³/f.u.
final energy	-4.193	eV/atom
symmetry	No. 123

Cell: 3.8114 3.8114 7.6142 Å, 90.00 90.00 90.00°
Fractional coordinates of all 4 atoms:
Nd 0.0000 0.0000 0.0000
Dy 0.0000 0.0000 0.5000
In 0.5000 0.5000 0.2623
In 0.5000 0.5000 0.7377